a | {
  "formula": "Cr2ReIr2",
  "functional": "PBE-GGA",
  "state": "relaxed",
  "total_magnetization_mub_per_cell": 0.00,
  "lattice_angstrom": [[7.144, 0.000, 0.000], [0.000, 7.144, 0.000], [0.000, 0.000, 2.695]],
  "species": ["Cr", "Cr", "Cr", "Cr", "Re", "Re", "Ir", "Ir", "Ir", "Ir"],
  "fractional_positions": [[0.116, 0.384, 0.000], [0.384, 0.884, 0.000], [0.616, 0.116, 0.000], [0.884, 0.616, 0.000], [0.000, 0.000, 0.000], [0.500, 0.500, 0.000], [0.177, 0.677, 0.500], [0.323, 0.177, 0.500], [0.677, 0.823, 0.500], [0.823, 0.323, 0.500]]
}

b | {
  "formula": "Cr2ReIr2",
  "functional": "PBE-GGA",
  "state": "relaxed",
  "total_magnetization_mub_per_cell": 0.00,
  "lattice_angstrom": [[7.212, 0.000, 0.000], [0.000, 7.212, 0.000], [0.000, 0.000, 2.681]],
  "species": ["Cr", "Cr", "Cr", "Cr", "Re", "Re", "Ir", "Ir", "Ir", "Ir"],
  "fractional_positions": [[0.170, 0.330, 0.000], [0.330, 0.830, 0.000], [0.670, 0.170, 0.000], [0.830, 0.670, 0.000], [0.000, 0.000, 0.500], [0.500, 0.500, 0.500], [0.128, 0.628, 0.500], [0.372, 0.128, 0.500], [0.628, 0.872, 0.500], [0.872, 0.372, 0.500]]
}

Which structure is the least stable? The one labeled b.